No. 1
Crystalline HfIrSCl2 at its relaxed geometry. Source: Alexandria, functional PBE.

```
5
Lattice="4.673 0.000 0.000 0.000 4.673 0.000 0.000 0.000 4.774" Properties=species:S:1:pos:R:3 pbc="T T T"
Hf 0.000 0.000 0.000
Ir 2.336 2.336 2.387
S 2.336 2.336 0.000
Cl 0.000 2.336 2.387
Cl 2.336 0.000 2.387
```

Properties
The calculation puts the volume at 20.847 Å³ per atom. Its space-group type is No. 123. The energy above the most stable polymorph in this dataset is 248 meV/atom. The energy relative to the elements, uncorrected comes out at 214 kJ/mol of formula units.

No. 2
Crystalline HfIrSCl2 at its relaxed geometry. Source: Alexandria, functional PBE.

```
5
Lattice="4.941 0.000 0.000 0.000 4.941 0.000 0.000 0.000 4.940" Properties=species:S:1:pos:R:3 pbc="T T T"
Hf 0.000 0.000 0.000
Ir 2.470 2.470 2.470
S 0.000 0.000 2.470
Cl 0.000 2.470 0.000
Cl 2.470 0.000 0.000
```

Properties
The calculation puts the volume at 24.119 Å³ per atom. Its space-group type is No. 123. The energy above the most stable polymorph in this dataset is 0 meV/atom. The energy relative to the elements, uncorrected comes out at 95 kJ/mol of formula units.

No. 3
Crystalline Hf2TaIrCl at its relaxed geometry. Source: Alexandria, functional PBE.

```
5
Lattice="5.147 0.000 0.000 0.000 5.147 0.000 0.000 0.000 4.441" Properties=species:S:1:pos:R:3 pbc="T T T"
Hf 0.000 2.573 0.000
Hf 2.573 0.000 0.000
Ta 0.000 0.000 0.000
Ir 2.573 2.573 2.221
Cl 0.000 0.000 2.221
```

Properties
The calculation puts the volume at 23.529 Å³ per atom. Its space-group type is No. 123. The energy relative to the elements, uncorrected comes out at 571 kJ/mol of formula units.

No. 4
Crystalline YHf2IrCl at its relaxed geometry. Source: Alexandria, functional PBE.

```
5
Lattice="4.651 0.000 0.000 0.000 4.651 0.000 0.000 0.000 4.905" Properties=species:S:1:pos:R:3 pbc="T T T"
Y 0.000 0.000 0.000
Hf 0.000 2.325 2.453
Hf 2.325 0.000 2.453
Ir 2.325 2.325 0.000
Cl 0.000 0.000 2.453
```

Properties
The calculation puts the volume at 21.223 Å³ per atom. Its space-group type is No. 123. The energy relative to the elements, uncorrected comes out at 29 kJ/mol of formula units.

No. 5
Crystalline KHf2Cl8 at its relaxed geometry. Source: Alexandria, functional PBE.

```
11
Lattice="9.267 0.000 0.000 -4.633 8.025 0.000 0.000 0.000 5.020" Properties=species:S:1:pos:R:3 pbc="T T T"
K 0.000 0.000 0.000
Hf 0.000 5.350 1.287
Hf 4.633 2.675 3.733
Cl -0.013 2.978 1.308
Cl -2.048 6.548 1.308
Cl 0.000 5.350 3.803
Cl 2.572 1.501 3.712
Cl 2.061 6.525 1.308
Cl 4.633 2.675 1.217
Cl 6.681 1.477 3.712
Cl 4.647 5.047 3.712
```

Properties
The calculation puts the volume at 33.939 Å³ per atom. Its space-group type is No. 147. The energy above the most stable polymorph in this dataset is 94 meV/atom. The energy relative to the elements, uncorrected comes out at -1795 kJ/mol of formula units.

No. 6
Crystalline K6HfCl12 at its relaxed geometry. Source: Alexandria, functional PBE.

```
19
Lattice="6.600 3.811 4.327 -6.600 3.811 4.327 0.000 -7.621 4.327" Properties=species:S:1:pos:R:3 pbc="T T T"
K -0.819 -3.066 4.590
K -2.246 2.243 4.590
K -3.065 -0.824 8.391
K 3.065 0.824 4.590
K 2.246 -2.243 8.391
K 0.819 3.066 8.391
Hf 0.000 0.000 0.000
Cl -6.152 -1.828 7.252
Cl -1.493 -6.242 5.729
Cl -2.841 -0.763 5.212
Cl -4.659 4.414 5.729
Cl -0.759 -2.842 7.769
Cl 2.081 -2.079 5.212
Cl -2.081 2.079 7.769
Cl 0.759 2.842 5.212
Cl 4.659 -4.414 7.252
Cl 2.841 0.763 7.769
Cl 1.493 6.242 7.252
Cl 6.152 1.828 5.729
```

Properties
The calculation puts the volume at 34.365 Å³ per atom. Its space-group type is No. 148. The energy relative to the elements, uncorrected comes out at -3059 kJ/mol of formula units.

No. 7
Crystalline K3HfCl8 at its relaxed geometry. Source: Alexandria, functional PBE.

```
12
Lattice="-3.872 3.872 6.208 3.872 -3.872 6.208 3.872 3.872 -6.208" Properties=species:S:1:pos:R:3 pbc="T T T"
K 0.000 0.000 0.000
K 3.872 0.000 3.104
K 0.000 3.872 3.104
Hf 0.000 0.000 6.208
Cl 2.807 2.807 -2.209
Cl 1.731 -1.731 5.511
Cl 2.141 2.141 0.697
Cl 1.065 1.065 4.000
Cl 1.065 -1.065 8.417
Cl -1.731 1.731 5.511
Cl 1.731 1.731 6.906
Cl -1.065 1.065 8.417
```

Properties
The calculation puts the volume at 31.024 Å³ per atom. Its space-group type is No. 121. The energy relative to the elements, uncorrected comes out at -1892 kJ/mol of formula units.

No. 8
Crystalline KHfCl14 at its relaxed geometry. Source: Alexandria, functional PBE.

```
16
Lattice="7.916 0.000 0.000 -3.585 8.102 0.000 -1.730 -3.940 10.011" Properties=species:S:1:pos:R:3 pbc="T T T"
K 0.000 0.000 0.000
Hf -1.244 3.664 8.894
Cl -2.716 6.192 2.466
Cl -2.999 1.984 9.125
Cl -1.885 2.275 6.492
Cl -0.780 2.628 4.792
Cl 0.669 -2.826 8.254
Cl 0.884 2.343 2.327
Cl 1.388 3.866 1.038
Cl 1.686 0.653 5.546
Cl 0.438 1.870 9.209
Cl 2.824 -0.852 6.216
Cl 4.422 0.357 1.032
Cl 0.451 4.810 7.605
Cl 5.314 -1.019 4.837
Cl 3.195 6.260 3.455
```

Properties
The calculation puts the volume at 40.131 Å³ per atom. Its space-group type is No. 1. The energy relative to the elements, uncorrected comes out at -1197 kJ/mol of formula units.

No. 9
Crystalline KHf2Cl at its relaxed geometry. Source: Alexandria, functional PBE.

```
4
Lattice="0.000 3.688 3.688 3.688 0.000 3.688 3.688 3.688 0.000" Properties=species:S:1:pos:R:3 pbc="T T T"
K 0.000 0.000 0.000
Hf 1.844 1.844 1.844
Hf 5.531 5.531 5.531
Cl 3.688 3.688 3.688
```

Properties
The calculation puts the volume at 25.073 Å³ per atom. Its space-group type is No. 225. The energy above the most stable polymorph in this dataset is 432 meV/atom. The energy relative to the elements, uncorrected comes out at 465 kJ/mol of formula units.

No. 10
Crystalline KHf2Cl8 at its relaxed geometry. Source: Alexandria, functional PBE.

```
11
Lattice="6.398 -3.579 0.000 6.398 3.579 0.000 -1.226 0.000 7.644" Properties=species:S:1:pos:R:3 pbc="T T T"
K 0.000 0.000 0.000
Hf 2.615 0.000 3.816
Hf 8.955 0.000 3.827
Cl 4.098 1.812 4.834
Cl 1.295 0.000 5.839
Cl 3.938 0.000 1.842
Cl 7.471 1.812 2.810
Cl 4.098 -1.812 4.834
Cl 7.632 0.000 5.802
Cl 10.275 0.000 1.804
Cl 7.471 -1.812 2.810
```

Properties
The calculation puts the volume at 31.819 Å³ per atom. Its space-group type is No. 12. The energy above the most stable polymorph in this dataset is 0 meV/atom. The energy relative to the elements, uncorrected comes out at -1895 kJ/mol of formula units.

No. 11
Crystalline K2Hf3Cl9 at its relaxed geometry. Source: Alexandria, functional PBE.

```
28
Lattice="5.242 -8.605 0.000 5.242 8.605 0.000 -4.124 0.000 8.978" Properties=species:S:1:pos:R:3 pbc="T T T"
K 1.379 5.771 6.103
K 4.980 5.771 2.875
K 1.379 -5.771 6.103
K 4.980 -5.771 2.875
Hf 0.226 1.555 7.627
Hf 3.187 0.000 1.169
Hf 0.226 -1.555 7.627
Hf 6.133 1.555 1.352
Hf 3.172 0.000 7.809
Hf 6.133 -1.555 1.352
Cl 1.824 5.217 2.963
Cl -2.020 1.855 8.793
Cl -0.807 0.000 5.927
Cl 0.999 0.000 2.474
Cl 5.242 3.524 0.000
Cl -2.020 -1.855 8.793
Cl 2.320 1.752 6.194
Cl 4.535 5.217 6.015
Cl 4.039 1.752 2.785
Cl 2.320 -1.752 6.194
Cl 1.824 -5.217 2.963
Cl 4.039 -1.752 2.785
Cl 8.379 1.855 0.185
Cl 5.242 -3.524 0.000
Cl 5.360 0.000 6.504
Cl 7.166 0.000 3.051
Cl 8.379 -1.855 0.185
Cl 4.535 -5.217 6.015
```

Properties
The calculation puts the volume at 28.925 Å³ per atom. Its space-group type is No. 12. The energy relative to the elements, uncorrected comes out at -2331 kJ/mol of formula units.

No. 12
Crystalline K3HfCl7 at its relaxed geometry. Source: Alexandria, functional PBE.

```
11
Lattice="5.215 -5.126 0.000 5.215 5.126 0.000 -4.546 0.000 6.372" Properties=species:S:1:pos:R:3 pbc="T T T"
K 0.000 0.000 0.000
K 2.585 2.410 3.591
K 2.585 -2.410 3.591
Hf 5.099 0.000 0.742
Cl -0.132 1.547 5.185
Cl 2.770 0.000 1.604
Cl 5.218 2.424 1.641
Cl -0.132 -1.547 5.185
Cl 2.818 0.000 6.158
Cl 6.294 0.000 3.186
Cl 5.218 -2.424 1.641
```

Properties
The calculation puts the volume at 30.968 Å³ per atom. Its space-group type is No. 8. The energy relative to the elements, uncorrected comes out at -1994 kJ/mol of formula units.

No. 13
Crystalline KHfCl6 at its relaxed geometry. Source: Alexandria, functional PBE.

```
8
Lattice="4.186 -4.779 0.000 4.186 4.779 0.000 -1.310 0.000 6.017" Properties=species:S:1:pos:R:3 pbc="T T T"
K 0.000 0.000 0.000
Hf 3.531 0.000 3.008
Cl 1.120 0.000 3.419
Cl 3.171 1.726 1.299
Cl 3.892 1.726 4.717
Cl 3.171 -1.726 1.299
Cl 3.892 -1.726 4.717
Cl 5.943 0.000 2.598
```

Properties
The calculation puts the volume at 30.093 Å³ per atom. Its space-group type is No. 12. The energy relative to the elements, uncorrected comes out at -1205 kJ/mol of formula units.

No. 14
Crystalline KHf2Cl at its relaxed geometry. Source: Alexandria, functional PBE.

```
8
Lattice="-2.621 2.621 9.693 2.621 -2.621 9.693 2.621 2.621 -9.693" Properties=species:S:1:pos:R:3 pbc="T T T"
K 0.000 0.000 0.000
K 0.000 2.621 4.846
Hf 1.310 2.450 -2.423
Hf 2.791 1.310 2.423
Hf 1.310 0.171 7.270
Hf -0.171 1.310 12.116
Cl 2.621 0.000 4.846
Cl 0.000 0.000 9.693
```

Properties
The calculation puts the volume at 33.286 Å³ per atom. Its space-group type is No. 122. The energy above the most stable polymorph in this dataset is 0 meV/atom. The energy relative to the elements, uncorrected comes out at 298 kJ/mol of formula units.

No. 15
Crystalline KLiHfCl6 at its relaxed geometry. Source: Alexandria, functional PBE.

```
18
Lattice="6.634 0.000 0.000 -3.317 5.745 0.000 0.000 0.000 13.853" Properties=species:S:1:pos:R:3 pbc="T T T"
K 0.000 0.000 0.000
K 0.000 0.000 6.927
Li 0.000 3.830 3.463
Li 3.317 1.915 10.390
Hf 0.000 3.830 10.390
Hf 3.317 1.915 3.463
Cl -1.156 2.182 8.966
Cl -2.006 3.653 11.814
Cl 1.156 2.182 11.814
Cl -0.849 5.656 8.966
Cl 2.468 0.089 2.039
Cl 1.311 2.092 4.887
Cl 2.006 3.653 8.966
Cl 0.849 5.656 11.814
Cl 4.166 0.089 4.887
Cl 2.161 3.563 2.039
Cl 5.323 2.092 2.039
Cl 4.473 3.563 4.887
```

Properties
The calculation puts the volume at 29.333 Å³ per atom. Its space-group type is No. 163. The energy relative to the elements, uncorrected comes out at -1659 kJ/mol of formula units.

No. 16
Crystalline KLi2HfCl8 at its relaxed geometry. Source: Alexandria, functional PBE.

```
12
Lattice="5.624 0.000 0.000 -0.038 6.320 0.000 -0.027 -0.007 8.761" Properties=species:S:1:pos:R:3 pbc="T T T"
K 0.000 0.000 0.000
Li 2.787 3.157 2.447
Li 2.773 3.156 6.313
Hf -0.013 -0.003 4.380
Cl 1.328 5.308 2.622
Cl 1.326 5.311 6.143
Cl 1.392 2.038 4.379
Cl 1.424 3.014 0.000
Cl 4.135 3.299 8.760
Cl 4.167 4.275 4.382
Cl 4.233 1.002 2.617
Cl 4.231 1.005 6.138
```

Properties
The calculation puts the volume at 25.949 Å³ per atom. Its space-group type is No. 2. The energy relative to the elements, uncorrected comes out at -1895 kJ/mol of formula units.

No. 17
Crystalline K2LiHfCl6 at its relaxed geometry. Source: Alexandria, functional PBE.

```
20
Lattice="3.599 2.078 11.867 -3.599 2.078 11.867 0.000 -4.156 11.867" Properties=species:S:1:pos:R:3 pbc="T T T"
K 0.000 0.000 4.540
K 0.000 0.000 10.423
K 0.000 0.000 25.179
K 0.000 0.000 31.063
Li 0.000 0.000 14.728
Li 0.000 0.000 20.874
Hf 0.000 0.000 0.000
Hf 0.000 0.000 17.801
Cl -1.780 -1.028 16.351
Cl 0.000 -2.098 13.315
Cl -1.817 1.049 13.315
Cl -1.817 -1.049 22.287
Cl 0.000 -2.056 19.252
Cl -1.780 1.028 19.252
Cl 1.780 -1.028 16.351
Cl 0.000 2.056 16.351
Cl 1.817 1.049 13.315
Cl 1.817 -1.049 22.287
Cl 0.000 2.098 22.287
Cl 1.780 1.028 19.252
```

Properties
The calculation puts the volume at 26.632 Å³ per atom. Its space-group type is No. 166. The energy relative to the elements, uncorrected comes out at -1708 kJ/mol of formula units.

No. 18
Crystalline KHf2MnCl at its relaxed geometry. Source: Alexandria, functional PBE.

```
5
Lattice="4.612 0.000 0.000 0.000 4.612 0.000 0.000 0.000 7.051" Properties=species:S:1:pos:R:3 pbc="T T T"
K 0.000 0.000 0.000
Hf 0.000 2.306 3.526
Hf 2.306 0.000 3.526
Mn 0.000 0.000 3.526
Cl 2.306 2.306 0.000
```

Properties
The calculation puts the volume at 29.991 Å³ per atom. Its space-group type is No. 123. The energy relative to the elements, uncorrected comes out at 215 kJ/mol of formula units.

No. 19
Crystalline KNaHfCl2 at its relaxed geometry. Source: Alexandria, functional PBE.

```
5
Lattice="5.017 0.000 0.000 0.000 5.017 0.000 0.000 0.000 7.796" Properties=species:S:1:pos:R:3 pbc="T T T"
K 0.000 0.000 0.000
Na 2.509 2.509 0.000
Hf 0.000 0.000 3.898
Cl 0.000 2.509 3.898
Cl 2.509 0.000 3.898
```

Properties
The calculation puts the volume at 39.244 Å³ per atom. Its space-group type is No. 123. The energy relative to the elements, uncorrected comes out at -174 kJ/mol of formula units.

No. 20
Crystalline K2NaHfCl6 at its relaxed geometry. Source: Alexandria, functional PBE.

```
20
Lattice="3.640 2.102 13.079 -3.640 2.102 13.079 0.000 -4.203 13.079" Properties=species:S:1:pos:R:3 pbc="T T T"
K 0.000 0.000 5.458
K 0.000 0.000 11.955
K 0.000 0.000 27.282
K 0.000 0.000 33.780
Na 0.000 0.000 16.251
Na 0.000 0.000 22.986
Hf 0.000 0.000 0.000
Hf 0.000 0.000 19.619
Cl -1.790 -1.034 18.165
Cl 0.000 -2.146 14.531
Cl -1.859 1.073 14.531
Cl -1.859 -1.073 24.707
Cl 0.000 -2.067 21.073
Cl -1.790 1.034 21.073
Cl 1.790 -1.034 18.165
Cl 0.000 2.067 18.165
Cl 1.859 1.073 14.531
Cl 1.859 -1.073 24.707
Cl 0.000 2.146 24.707
Cl 1.790 1.034 21.073
```

Properties
The calculation puts the volume at 30.017 Å³ per atom. Its space-group type is No. 166. The energy relative to the elements, uncorrected comes out at -1700 kJ/mol of formula units.

| no. | electronic total energy (eV/cell) |
| --- | --- |
| 1 | -24.42 |
| 2 | -25.66 |
| 3 | -36.55 |
| 4 | -36.78 |
| 5 | -54.38 |
| 6 | -70.40 |
| 7 | -47.63 |
| 8 | -49.31 |
| 9 | -18.04 |
| 10 | -55.42 |
| 11 | -145.66 |
| 12 | -46.84 |
| 13 | -34.62 |
| 14 | -39.53 |
| 15 | -82.47 |
| 16 | -49.29 |
| 17 | -85.70 |
| 18 | -29.79 |
| 19 | -17.87 |
| 20 | -84.33 |